1.
This record from Alexandria describes a geometry-optimized SmDy2TmSe6 structure. The functional is PBE-GGA.

```
SmDy2TmSe6
1.0
3.6127 2.0858 6.4880
-3.6127 2.0858 6.4880
0.0000 -4.1715 6.4880
Sm Dy Tm Se
1 2 1 6
direct
0.0000 0.0000 0.0000
0.3001 0.3001 0.3001
0.8026 0.8026 0.8026
0.4964 0.4964 0.4964
0.0955 0.6950 0.4085
0.2089 0.5916 0.8951
0.4085 0.0955 0.6950
0.5916 0.8951 0.2089
0.6950 0.4085 0.0955
0.8951 0.2089 0.5916
```

Properties
* total DFT energy (no corrections): -5.776 eV/atom
* total magnetization: 0.000 μB per atom

---

2.
This record from Alexandria describes a geometry-optimized Sm2DyTm3Se6 structure. The functional is PBE-GGA.

```
Sm2DyTm3Se6
1.0
8.9291 -2.0227 0.0000
8.9291 2.0227 0.0000
-2.0739 0.0000 7.9714
Sm Dy Tm Se
2 1 3 6
direct
0.1680 0.1680 0.3356
0.8320 0.8320 0.6644
0.5000 0.5000 0.0000
0.1689 0.1689 0.8334
0.5000 0.5000 0.5000
0.8311 0.8311 0.1666
0.0037 0.0037 0.7480
0.3331 0.3331 0.9267
0.3373 0.3373 0.4083
0.6627 0.6627 0.5917
0.6669 0.6669 0.0733
0.9963 0.9963 0.2520
```

Properties
* total DFT energy (no corrections): -5.761 eV/atom
* total magnetization: 0.000 μB per atom

---

3.
This record from Alexandria describes a geometry-optimized Sm4DyTm3Se8 structure. The functional is PBE-GGA.

```
Sm4DyTm3Se8
1.0
4.0614 2.3449 6.8418
-4.0614 2.3449 6.8418
0.0000 -4.6897 6.8418
Sm Dy Tm Se
4 1 3 8
direct
0.0000 0.0000 0.0000
0.0000 0.5000 0.5000
0.5000 0.0000 0.5000
0.5000 0.5000 0.0000
0.5000 0.5000 0.5000
0.0000 0.0000 0.5000
0.0000 0.5000 0.0000
0.5000 0.0000 0.0000
0.2425 0.7467 0.7467
0.2447 0.2447 0.2447
0.2533 0.2533 0.7575
0.2533 0.7575 0.2533
0.7467 0.2425 0.7467
0.7467 0.7467 0.2425
0.7553 0.7553 0.7553
0.7575 0.2533 0.2533
```

Properties
* total DFT energy (no corrections): -5.800 eV/atom
* total magnetization: 0.000 μB per atom

---

4.
This record from Alexandria describes a geometry-optimized SmDyTm2Se4 structure. The functional is PBE-GGA.

```
SmDyTm2Se4
1.0
6.9986 0.0000 0.0000
0.0000 4.0064 0.0000
-2.3002 0.0000 6.8057
Sm Dy Tm Se
1 1 2 4
direct
0.0000 0.0000 0.0000
0.5000 0.5000 0.0000
0.0000 0.5000 0.5000
0.5000 0.0000 0.5000
0.2506 0.0000 0.7408
0.2579 0.5000 0.2621
0.7421 0.5000 0.7379
0.7494 0.0000 0.2592
```

Properties
* total DFT energy (no corrections): -5.747 eV/atom
* total magnetization: 0.000 μB per atom